# 1
12
Lattice="3.4646 0.0000 0.0000 -1.7323 3.0004 0.0000 0.0000 0.0000 36.9042" Properties=species:S:1:pos:R:3 comment="LuTh2Sb | Alexandria | PBE | optimized geometry" magnetic_moment_mub_per_atom=0.000 e_form_raw_kcal_per_mol_atoms=2.9 relative_energy_ev_per_atom=0.539 total_energy_ev_per_fu=-22.974 pbc="T T T"
Lu 0.0000 0.0000 0.0000
Lu 0.0000 2.0003 24.6028
Lu 1.7323 1.0001 12.3014
Th 0.0000 0.0000 15.2512
Th 0.0000 0.0000 21.6530
Th 0.0000 2.0003 2.9498
Th 0.0000 2.0003 9.3516
Th 1.7323 1.0001 27.5526
Th 1.7323 1.0001 33.9543
Sb 0.0000 0.0000 18.4521
Sb 0.0000 2.0003 6.1507
Sb 1.7323 1.0001 30.7535



# 2
4
Lattice="4.8539 0.0000 0.0000 0.0000 4.8539 0.0000 0.0000 0.0000 3.4320" Properties=species:S:1:pos:R:3 comment="NaTeS2 | Alexandria | PBE | optimized geometry" magnetic_moment_mub_per_atom=0.000 e_form_raw_kcal_per_mol_atoms=-3.1 total_energy_ev_per_fu=-13.255 pbc="T T T"
Na 0.0000 0.0000 0.0000
Te 2.4270 2.4270 0.0000
S 0.0000 2.4270 1.7160
S 2.4270 0.0000 1.7160



# 3
16
Lattice="6.5373 0.0000 0.0000 0.0000 6.5373 0.0000 0.0000 0.0000 6.5373" Properties=species:S:1:pos:R:3 comment="Zr2CuRe | Alexandria | PBE | optimized geometry" magnetic_moment_mub_per_atom=0.000 ef_mev_per_atom=167 total_energy_ev_per_fu=-32.971 pbc="T T T"
Zr 0.0000 0.0000 0.0000
Zr 0.0000 3.2686 3.2686
Zr 1.6343 1.6343 1.6343
Zr 1.6343 4.9030 4.9030
Zr 3.2686 0.0000 3.2686
Zr 3.2686 3.2686 0.0000
Zr 4.9030 1.6343 4.9030
Zr 4.9030 4.9030 1.6343
Cu 0.0000 0.0000 3.2686
Cu 0.0000 3.2686 0.0000
Cu 3.2686 0.0000 0.0000
Cu 3.2686 3.2686 3.2686
Re 1.6343 1.6343 4.9030
Re 1.6343 4.9030 1.6343
Re 4.9030 1.6343 1.6343
Re 4.9030 4.9030 4.9030